Compound: LiFePO4
Source: Alexandria via LeMat-Bulk
Functional: PBE+U
Structure: optimized geometry

Calculated values
Its space-group type is Cmcm. As for the raw total energy: -6.758 eV/atom. Its distance to the lowest polymorph of the same formula is 75 meV per atom. Its density is 3.49 Mg/m³.

a b c (Å): 5.0596 5.0596 6.2949
angles (deg): 90.00 90.00 111.48
Site moments in Bohr magnetons follow the coordinates.
Element x y z (fractional)
Li 0.5000 0.5000 0.5000  0.00
Li 0.5000 0.5000 0.0000  0.00
Fe 0.8181 0.1819 0.7500  3.77
Fe 0.1819 0.8181 0.2500  3.77
P 0.8537 0.1463 0.2500  0.01
P 0.1463 0.8537 0.7500  0.01
O 0.2540 0.1855 0.7500  0.04
O 0.1855 0.2540 0.2500  0.04
O 0.8145 0.7460 0.7500  0.04
O 0.7460 0.8145 0.2500  0.04
O 0.7439 0.2561 0.0515  0.03
O 0.7439 0.2561 0.4485  0.03
O 0.2561 0.7439 0.5515  0.03
O 0.2561 0.7439 0.9485  0.03